Entry 1:
# LaEuGeRh | the Alexandria database | PBE | relaxed
data_LaEuGeRh
_cell_length_a 5.160
_cell_length_b 5.160
_cell_length_c 5.160
_cell_angle_alpha 60.00
_cell_angle_beta 60.00
_cell_angle_gamma 60.00
_space_group_name_H-M_alt 'P 1'
_space_group_IT_number 1
loop_
_space_group_symop_operation_xyz
'x,y,z'
loop_
_atom_site_label
_atom_site_fract_x
_atom_site_fract_y
_atom_site_fract_z
Eu1 0.000 0.000 0.000
La1 0.500 0.500 0.500
Ge1 0.250 0.250 0.250
Rh1 0.750 0.750 0.750
# Formation energy from the elements (eV/atom): -0.523
# Raw total energy (eV for the cell shown): -29.26
# SG: F-43m

***

Entry 2:
# Sr2CdGe3 | the Alexandria database | PBE | relaxed
data_Sr2CdGe3
_cell_length_a 4.558
_cell_length_b 6.499
_cell_length_c 6.118
_cell_angle_alpha 73.12
_cell_angle_beta 68.13
_cell_angle_gamma 69.47
_space_group_name_H-M_alt 'P 1'
_space_group_IT_number 1
loop_
_space_group_symop_operation_xyz
'x,y,z'
loop_
_atom_site_label
_atom_site_fract_x
_atom_site_fract_y
_atom_site_fract_z
Cd1 0.160 0.419 0.260
Sr1 0.556 0.187 0.701
Sr2 0.443 0.814 0.299
Ge1 0.176 0.786 0.863
Ge2 0.837 0.571 0.755
Ge3 0.828 0.223 0.122
# Formation energy from the elements (eV/atom): -0.413
# Raw total energy (eV for the cell shown): -20.61
# SG: Cm

***

Entry 3:
# InF3 | the Alexandria database | PBE | relaxed
data_InF3
_cell_length_a 4.506
_cell_length_b 4.506
_cell_length_c 4.506
_cell_angle_alpha 47.97
_cell_angle_beta 47.97
_cell_angle_gamma 47.97
_space_group_name_H-M_alt 'P 1'
_space_group_IT_number 1
loop_
_space_group_symop_operation_xyz
'x,y,z'
loop_
_atom_site_label
_atom_site_fract_x
_atom_site_fract_y
_atom_site_fract_z
F1 0.277 0.277 0.277
F2 0.500 0.500 0.500
In1 0.000 0.000 0.000
F3 0.723 0.723 0.723
# Raw total energy (eV for the cell shown): -16.32
# SG: R-3m
# Formation energy from raw total energies (meV per atom): -1993.0